{
  "formula": "MgBrO2",
  "functional": "PBE",
  "state": "relaxed",
  "cell": [[3.1424, 0.0000, 0.0000], [-1.5712, 2.7214, 0.0000], [0.0000, 0.0000, 6.2761]],
  "species": ["Mg", "Br", "O", "O"],
  "fractional_positions": [[0.0000, 0.0000, 0.0000], [0.6667, 0.3333, 0.5000], [0.6667, 0.3333, 0.1880], [0.6667, 0.3333, 0.8120]],
  "mass_density_g_cm3": 4.21,
  "energy_ha_per_atom": -0.1611,
  "formation_energy_uncorrected_ev_per_atom": -1.088,
  "relative_energy_mev_per_atom": 126
}

{
  "formula": "Nd3PbO6",
  "functional": "PBE",
  "state": "relaxed",
  "cell": [[5.1160, 2.9537, 3.8560], [-5.1160, 2.9537, 3.8560], [0.0000, -5.9074, 3.8560]],
  "species": ["Nd", "Nd", "Nd", "Nd", "Nd", "Nd", "Pb", "Pb", "O", "O", "O", "O", "O", "O", "O", "O", "O", "O", "O", "O"],
  "fractional_positions": [[0.0604, 0.7530, 0.5681], [0.2470, 0.4319, 0.9396], [0.4319, 0.9396, 0.2470], [0.5681, 0.0604, 0.7530], [0.7530, 0.5681, 0.0604], [0.9396, 0.2470, 0.4319], [0.0000, 0.0000, 0.0000], [0.5000, 0.5000, 0.5000], [0.0306, 0.6968, 0.9081], [0.0919, 0.9694, 0.3032], [0.1646, 0.4379, 0.6134], [0.3032, 0.0919, 0.9694], [0.3866, 0.8354, 0.5621], [0.4379, 0.6134, 0.1646], [0.5621, 0.3866, 0.8354], [0.6134, 0.1646, 0.4379], [0.6968, 0.9081, 0.0306], [0.8354, 0.5621, 0.3866], [0.9081, 0.0306, 0.6968], [0.9694, 0.3032, 0.0919]],
  "mass_density_g_cm3": 6.99,
  "energy_ha_per_atom": -0.2770,
  "formation_energy_uncorrected_ev_per_atom": -2.761,
  "relative_energy_mev_per_atom": 0
}

{
  "formula": "Re2TcAs",
  "functional": "PBE",
  "state": "relaxed",
  "cell": [[1.4442, -2.3305, 0.0000], [1.4442, 2.3305, 0.0000], [0.0000, 0.0000, 9.2766]],
  "species": ["Re", "Re", "Tc", "As"],
  "fractional_positions": [[0.0000, 0.0000, 0.2391], [0.0000, 0.0000, 0.7609], [0.5000, 0.5000, 0.0000], [0.5000, 0.5000, 0.5000]],
  "mass_density_g_cm3": 14.50,
  "energy_ha_per_atom": -0.3466,
  "formation_energy_mev_per_atom": 547
}

{
  "formula": "AgPd6Au8",
  "functional": "PBE",
  "state": "relaxed",
  "cell": [[3.8729, 2.2360, 5.4608], [-3.8729, 2.2360, 5.4608], [0.0000, -4.4721, 5.4608]],
  "species": ["Ag", "Pd", "Pd", "Pd", "Pd", "Pd", "Pd", "Au", "Au", "Au", "Au", "Au", "Au", "Au", "Au"],
  "fractional_positions": [[0.0000, 0.0000, 0.0000], [0.0562, 0.7111, 0.3799], [0.2889, 0.6201, 0.9438], [0.3799, 0.0562, 0.7111], [0.6201, 0.9438, 0.2889], [0.7111, 0.3799, 0.0562], [0.9438, 0.2889, 0.6201], [0.1151, 0.4543, 0.7895], [0.2105, 0.8849, 0.5457], [0.3244, 0.3244, 0.3244], [0.4543, 0.7895, 0.1151], [0.5457, 0.2105, 0.8849], [0.6756, 0.6756, 0.6756], [0.7895, 0.1151, 0.4543], [0.8849, 0.5457, 0.2105]],
  "mass_density_g_cm3": 13.59,
  "energy_ha_per_atom": -0.1446,
  "formation_energy_mev_per_atom": 81,
  "relative_energy_mev_per_atom": 3
}

{
  "formula": "YCu2Ag",
  "functional": "PBE",
  "state": "relaxed",
  "cell": [[0.0000, 3.2941, 3.2941], [3.2941, 0.0000, 3.2941], [3.2941, 3.2941, 0.0000]],
  "species": ["Y", "Cu", "Cu", "Ag"],
  "fractional_positions": [[0.0000, 0.0000, 0.0000], [0.2500, 0.2500, 0.2500], [0.7500, 0.7500, 0.7500], [0.5000, 0.5000, 0.5000]],
  "mass_density_g_cm3": 7.52,
  "energy_ha_per_atom": -0.1661,
  "formation_energy_mev_per_atom": -142,
  "relative_energy_mev_per_atom": 0
}

{
  "formula": "La4SiTcBr2",
  "functional": "PBE",
  "state": "relaxed",
  "cell": [[7.4997, 0.0000, 0.0000], [0.0000, 4.2731, 0.0000], [-2.4412, 0.0000, 7.7284]],
  "species": ["La", "La", "La", "La", "Si", "Tc", "Br", "Br"],
  "fractional_positions": [[0.2281, 0.0000, 0.2035], [0.2415, 0.5000, 0.8030], [0.7585, 0.5000, 0.1970], [0.7719, 0.0000, 0.7965], [0.5000, 0.0000, 0.0000], [0.0000, 0.5000, 0.0000], [0.0000, 0.0000, 0.5000], [0.5000, 0.5000, 0.5000]],
  "mass_density_g_cm3": 5.64,
  "energy_ha_per_atom": -0.2115,
  "formation_energy_uncorrected_ev_per_atom": -0.900
}

{
  "formula": "Pu2MgGa3Pt4",
  "functional": "PBE",
  "state": "relaxed",
  "cell": [[4.1013, 0.0000, 0.0000], [0.0000, 4.1013, 0.0000], [0.0000, 0.0000, 11.4393]],
  "species": ["Pu", "Pu", "Mg", "Ga", "Ga", "Ga", "Pt", "Pt", "Pt", "Pt"],
  "fractional_positions": [[0.0000, 0.5000, 0.2463], [0.5000, 0.0000, 0.7537], [0.0000, 0.0000, 0.5000], [0.0000, 0.5000, 0.8692], [0.5000, 0.0000, 0.1308], [0.5000, 0.5000, 0.5000], [0.0000, 0.0000, 0.0000], [0.0000, 0.5000, 0.6493], [0.5000, 0.0000, 0.3507], [0.5000, 0.5000, 0.0000]],
  "mass_density_g_cm3": 12.96,
  "energy_ha_per_atom": -0.2612,
  "formation_energy_mev_per_atom": -756
}

{
  "formula": "VSb2TeI",
  "functional": "PBE",
  "state": "relaxed",
  "cell": [[5.7460, 0.0000, 0.0000], [0.0000, 5.7460, 0.0000], [0.0000, 0.0000, 5.7489]],
  "species": ["V", "Sb", "Sb", "Te", "I"],
  "fractional_positions": [[0.0000, 0.0000, 0.0000], [0.0000, 0.5000, 0.5000], [0.5000, 0.0000, 0.5000], [0.5000, 0.5000, 0.0000], [0.5000, 0.5000, 0.5000]],
  "mass_density_g_cm3": 4.80,
  "energy_ha_per_atom": -0.1097,
  "formation_energy_uncorrected_ev_per_atom": 1.427,
  "relative_energy_mev_per_atom": 1277
}

{
  "formula": "In4TcTe",
  "functional": "PBE",
  "state": "relaxed",
  "cell": [[0.0000, 4.2529, 4.2529], [4.2529, 0.0000, 4.2529], [4.2529, 4.2529, 0.0000]],
  "species": ["In", "In", "In", "In", "Tc", "Te"],
  "fractional_positions": [[0.1243, 0.1243, 0.1243], [0.1243, 0.1243, 0.6272], [0.1243, 0.6272, 0.1243], [0.6272, 0.1243, 0.1243], [0.7500, 0.7500, 0.7500], [0.5000, 0.5000, 0.5000]],
  "mass_density_g_cm3": 7.39,
  "energy_ha_per_atom": -0.1255,
  "formation_energy_uncorrected_ev_per_atom": 0.662
}

{
  "formula": "CsAcBr4",
  "functional": "PBE",
  "state": "relaxed",
  "cell": [[8.5012, 0.0000, 0.0000], [0.0000, 4.8246, 0.0000], [0.0000, 0.0000, 21.7538]],
  "species": ["Cs", "Cs", "Cs", "Cs", "Ac", "Ac", "Ac", "Ac", "Br", "Br", "Br", "Br", "Br", "Br", "Br", "Br", "Br", "Br", "Br", "Br", "Br", "Br", "Br", "Br"],
  "fractional_positions": [[0.2192, 0.2500, 0.2044], [0.2808, 0.7500, 0.7044], [0.7192, 0.2500, 0.2956], [0.7808, 0.7500, 0.7956], [0.2494, 0.7500, 0.4427], [0.2506, 0.2500, 0.9427], [0.7494, 0.7500, 0.0573], [0.7506, 0.2500, 0.5573], [0.0072, 0.2500, 0.0603], [0.0974, 0.2500, 0.8103], [0.0987, 0.2500, 0.3684], [0.1410, 0.2500, 0.5373], [0.3590, 0.7500, 0.0373], [0.4013, 0.7500, 0.8684], [0.4026, 0.7500, 0.3103], [0.4928, 0.7500, 0.5603], [0.5072, 0.2500, 0.4397], [0.5974, 0.2500, 0.6897], [0.5987, 0.2500, 0.1316], [0.6410, 0.2500, 0.9627], [0.8590, 0.7500, 0.4627], [0.9013, 0.7500, 0.6316], [0.9026, 0.7500, 0.1897], [0.9928, 0.7500, 0.9397]],
  "mass_density_g_cm3": 5.06,
  "energy_ha_per_atom": -0.1443,
  "formation_energy_uncorrected_ev_per_atom": -1.983,
  "relative_energy_mev_per_atom": 0
}

{
  "formula": "Pu2SiP",
  "functional": "PBE",
  "state": "relaxed",
  "cell": [[1.9698, 1.1372, 6.9753], [-1.9698, 1.1372, 6.9753], [0.0000, -2.2745, 6.9753]],
  "species": ["Pu", "Pu", "Si", "P"],
  "fractional_positions": [[0.2453, 0.2453, 0.2453], [0.7547, 0.7547, 0.7547], [0.0000, 0.0000, 0.0000], [0.5000, 0.5000, 0.5000]],
  "mass_density_g_cm3": 9.69,
  "energy_ha_per_atom": -0.3837,
  "formation_energy_uncorrected_ev_per_atom": -0.565,
  "relative_energy_mev_per_atom": 191
}